Record 1
# Ti4C2NO (PBE-GGA, optimized geometry)
# N(E_F) ... 2.60 states/eV per cell
# Total moment ... 0.00 μB/cell
data_Ti4C2NO
_chemical_formula_sum 'Ti4 C2 N1 O1'
_symmetry_space_group_name_H-M 'P 1 2/m 1'
_symmetry_Int_Tables_number 10
_cell_length_a 5.2710
_cell_length_b 3.0300
_cell_length_c 5.3070
_cell_angle_alpha 90.00
_cell_angle_beta 109.27
_cell_angle_gamma 90.00
loop_
_symmetry_equiv_pos_as_xyz
'x,y,z'
'-x,-y,-z'
'-x,y,-z'
'x,-y,z'
loop_
_atom_site_label
_atom_site_fract_x
_atom_site_fract_y
_atom_site_fract_z
Ti1 0.2383 0.0000 0.2355
Ti2 0.2452 0.5000 0.7587
C1 0.0000 0.5000 0.0000
C2 0.5000 0.0000 0.0000
N1 0.0000 0.0000 0.5000
O1 0.5000 0.5000 0.5000

***

Record 2
# Ti8C3N4O (PBE-GGA, optimized geometry)
# N(E_F) ... 18.57 states/eV per cell
# Total moment ... 0.00 μB/cell
data_Ti8C3N4O
_chemical_formula_sum 'Ti24 C9 N12 O3'
_symmetry_space_group_name_H-M 'R -3 m'
_symmetry_Int_Tables_number 166
_symmetry_space_group_name_Hall '-R 3 2"'
_cell_length_a 6.0735
_cell_length_b 6.0735
_cell_length_c 14.8285
_cell_angle_alpha 90.00
_cell_angle_beta 90.00
_cell_angle_gamma 120.00
loop_
_atom_site_label
_atom_site_fract_x
_atom_site_fract_y
_atom_site_fract_z
Ti1 0.0000 0.0000 0.2502
Ti2 0.0115 0.5057 0.2490
C1 0.0000 0.5000 0.0000
N1 0.0000 0.0000 0.5000
N2 0.0000 0.5000 0.5000
O1 0.0000 0.0000 0.0000

***

Record 3
# TiCN2O (PBE-GGA, optimized geometry)
# N(E_F) ... 1.33 states/eV per cell
# Total moment ... 0.00 μB/cell
data_TiCN2O
_chemical_formula_sum 'Ti1 C1 N2 O1'
_symmetry_space_group_name_H-M 'P 4/m m m'
_symmetry_Int_Tables_number 123
_symmetry_space_group_name_Hall '-P 4 2'
_cell_length_a 3.2245
_cell_length_b 3.2245
_cell_length_c 3.6557
_cell_angle_alpha 90.00
_cell_angle_beta 90.00
_cell_angle_gamma 90.00
loop_
_atom_site_label
_atom_site_fract_x
_atom_site_fract_y
_atom_site_fract_z
Ti1 0.0000 0.0000 0.0000
C1 0.5000 0.5000 0.5000
N1 0.0000 0.5000 0.5000
O1 0.5000 0.5000 0.0000

***

Record 4
# Ti8C3NO3 (PBE-GGA, optimized geometry)
# N(E_F) ... 18.75 states/eV per cell
# Total moment ... 0.00 μB/cell
data_Ti8C3NO3
_chemical_formula_sum 'Ti24 C9 N3 O9'
_symmetry_space_group_name_H-M 'R -3 m'
_symmetry_Int_Tables_number 166
_symmetry_space_group_name_Hall '-R 3 2"'
_cell_length_a 6.0926
_cell_length_b 6.0926
_cell_length_c 14.9063
_cell_angle_alpha 90.00
_cell_angle_beta 90.00
_cell_angle_gamma 120.00
loop_
_atom_site_label
_atom_site_fract_x
_atom_site_fract_y
_atom_site_fract_z
Ti1 0.0000 0.0000 0.2414
Ti2 0.0030 0.5015 0.2442
C1 0.0000 0.5000 0.5000
N1 0.0000 0.0000 0.5000
O1 0.0000 0.5000 0.0000

***

Record 5
# Ti8C4NO3 (PBE-GGA, optimized geometry)
# N(E_F) ... 17.54 states/eV per cell
# Total moment ... 0.00 μB/cell
data_Ti8C4NO3
_chemical_formula_sum 'Ti24 C12 N3 O9'
_symmetry_space_group_name_H-M 'R -3 m'
_symmetry_Int_Tables_number 166
_symmetry_space_group_name_Hall '-R 3 2"'
_cell_length_a 6.0755
_cell_length_b 6.0755
_cell_length_c 15.1233
_cell_angle_alpha 90.00
_cell_angle_beta 90.00
_cell_angle_gamma 120.00
loop_
_atom_site_label
_atom_site_fract_x
_atom_site_fract_y
_atom_site_fract_z
Ti1 0.0000 0.0000 0.2425
Ti2 0.0078 0.5039 0.7552
C1 0.0000 0.0000 0.5000
C2 0.0000 0.5000 0.5000
N1 0.0000 0.0000 0.0000
O1 0.0000 0.5000 0.0000

***

Record 6
# Ti6CNO (PBE-GGA, optimized geometry)
# N(E_F) ... 9.23 states/eV per cell
# Total moment ... 0.00 μB/cell
data_Ti6CNO
_chemical_formula_sum 'Ti12 C2 N2 O2'
_symmetry_space_group_name_H-M 'P 42 n m'
_symmetry_Int_Tables_number 102
_cell_length_a 4.9828
_cell_length_b 4.9828
_cell_length_c 9.1827
_cell_angle_alpha 90.00
_cell_angle_beta 90.00
_cell_angle_gamma 90.00
loop_
_symmetry_equiv_pos_as_xyz
'x,y,z'
'-y+1/2,x+1/2,z+1/2'
'-x,-y,z'
'y+1/2,-x+1/2,z+1/2'
'-x+1/2,y+1/2,z+1/2'
'y,x,z'
'x+1/2,-y+1/2,z+1/2'
'-y,-x,z'
loop_
_atom_site_label
_atom_site_fract_x
_atom_site_fract_y
_atom_site_fract_z
Ti1 0.2014 0.2014 0.0000
Ti2 0.2046 0.2046 0.3299
Ti3 0.2054 0.2054 0.6625
C1 0.0000 0.0000 0.8301
N1 0.0000 0.0000 0.1654
O1 0.0000 0.0000 0.4969

***

Record 7
# TiCN2O (PBE-GGA, optimized geometry)
# N(E_F) ... 2.86 states/eV per cell
# Total moment ... 1.81 μB/cell
data_TiCN2O
_chemical_formula_sum 'Ti1 C1 N2 O1'
_symmetry_space_group_name_H-M 'P 4/m m m'
_symmetry_Int_Tables_number 123
_symmetry_space_group_name_Hall '-P 4 2'
_cell_length_a 4.0345
_cell_length_b 4.0345
_cell_length_c 3.7588
_cell_angle_alpha 90.00
_cell_angle_beta 90.00
_cell_angle_gamma 90.00
loop_
_atom_site_label
_atom_site_fract_x
_atom_site_fract_y
_atom_site_fract_z
Ti1 0.0000 0.0000 0.0000
C1 0.5000 0.5000 0.5000
N1 0.0000 0.5000 0.0000
O1 0.0000 0.0000 0.5000

***

Record 8
# Ti6CN2O3 (PBE-GGA, optimized geometry)
# N(E_F) ... 12.37 states/eV per cell
# Total moment ... 0.00 μB/cell
data_Ti6CN2O3
_chemical_formula_sum 'Ti12 C2 N4 O6'
_symmetry_space_group_name_H-M 'C 1 2/m 1'
_symmetry_Int_Tables_number 12
_cell_length_a 13.2971
_cell_length_b 3.0366
_cell_length_c 6.1021
_cell_angle_alpha 90.00
_cell_angle_beta 104.08
_cell_angle_gamma 90.00
loop_
_symmetry_equiv_pos_as_xyz
'x,y,z'
'-x,-y,-z'
'-x,y,-z'
'x,-y,z'
'x+1/2,y+1/2,z'
'-x+1/2,-y+1/2,-z'
'-x+1/2,y+1/2,-z'
'x+1/2,-y+1/2,z'
loop_
_atom_site_label
_atom_site_fract_x
_atom_site_fract_y
_atom_site_fract_z
Ti1 0.0051 0.0000 0.2366
Ti2 0.1606 0.5000 0.0971
Ti3 0.1730 0.5000 0.5671
C1 0.0000 0.5000 0.0000
N1 0.1664 0.0000 0.3326
O1 0.0000 0.5000 0.5000
O2 0.1663 0.0000 0.8319

***

For the records above, the corresponding energy relative to the elements, uncorrected values read -1.53 -1.52 0.76 -1.66 -1.64 -1.28 1.41 -2.00 eV/atom.
For the records above, the corresponding density values read 5.10 5.16 4.54 5.00 5.08 4.80 2.82 5.21 Mg/m³.